A relaxed Ta5V3Mo12 crystal, computed with GGA-PBE.

```
data_Ta5V3Mo12
_cell_length_a 12.828
_cell_length_b 12.828
_cell_length_c 12.828
_cell_angle_alpha 109.47
_cell_angle_beta 109.47
_cell_angle_gamma 109.47
_symmetry_space_group_name_H-M 'P 1'
_symmetry_Int_Tables_number 1
loop_
_symmetry_equiv_pos_as_xyz
'x,y,z'
loop_
_atom_site_label
_atom_site_type_symbol
_atom_site_fract_x
_atom_site_fract_y
_atom_site_fract_z
V1 V 0.750 0.375 0.125
V2 V 0.875 0.750 0.125
V3 V 0.375 0.750 0.625
V4 V 0.250 0.125 0.375
V5 V 0.875 0.125 0.250
V6 V 0.375 0.625 0.250
V7 V 0.625 0.375 0.750
V8 V 0.125 0.875 0.750
V9 V 0.750 0.875 0.625
V10 V 0.625 0.250 0.375
V11 V 0.125 0.250 0.875
V12 V 0.250 0.625 0.875
Ta1 Ta 0.125 0.375 0.250
Ta2 Ta 0.000 0.500 0.000
Ta3 Ta 0.000 0.000 0.000
Ta4 Ta 0.375 0.250 0.125
Ta5 Ta 0.500 0.000 0.500
Ta6 Ta 0.500 0.500 0.000
Ta7 Ta 0.125 0.750 0.375
Ta8 Ta 0.750 0.125 0.875
Ta9 Ta 0.750 0.625 0.375
Ta10 Ta 0.375 0.125 0.750
Ta11 Ta 0.625 0.875 0.250
Ta12 Ta 0.500 0.500 0.500
Ta13 Ta 0.500 0.000 0.000
Ta14 Ta 0.000 0.000 0.500
Ta15 Ta 0.250 0.375 0.625
Ta16 Ta 0.250 0.875 0.125
Ta17 Ta 0.000 0.500 0.500
Ta18 Ta 0.875 0.250 0.625
Ta19 Ta 0.625 0.750 0.875
Ta20 Ta 0.875 0.625 0.750
Mo1 Mo 0.742 0.129 0.077
Mo2 Mo 0.334 0.577 0.448
Mo3 Mo 0.923 0.371 0.258
Mo4 Mo 0.577 0.242 0.129
Mo5 Mo 0.613 0.742 0.666
Mo6 Mo 0.923 0.552 0.166
Mo7 Mo 0.334 0.758 0.387
Mo8 Mo 0.052 0.887 0.129
Mo9 Mo 0.552 0.923 0.666
Mo10 Mo 0.742 0.613 0.166
Mo11 Mo 0.758 0.423 0.371
Mo12 Mo 0.834 0.948 0.077
Mo13 Mo 0.129 0.742 0.577
Mo14 Mo 0.371 0.448 0.113
Mo15 Mo 0.113 0.948 0.371
Mo16 Mo 0.387 0.129 0.552
Mo17 Mo 0.113 0.166 0.242
Mo18 Mo 0.423 0.666 0.052
Mo19 Mo 0.834 0.887 0.258
Mo20 Mo 0.129 0.387 0.052
Mo21 Mo 0.371 0.923 0.758
Mo22 Mo 0.552 0.629 0.387
Mo23 Mo 0.948 0.834 0.577
Mo24 Mo 0.758 0.334 0.887
Mo25 Mo 0.448 0.371 0.613
Mo26 Mo 0.052 0.166 0.423
Mo27 Mo 0.242 0.666 0.113
Mo28 Mo 0.166 0.113 0.742
Mo29 Mo 0.629 0.077 0.242
Mo30 Mo 0.871 0.613 0.948
Mo31 Mo 0.577 0.334 0.948
Mo32 Mo 0.613 0.871 0.448
Mo33 Mo 0.887 0.834 0.758
Mo34 Mo 0.887 0.052 0.629
Mo35 Mo 0.871 0.258 0.423
Mo36 Mo 0.166 0.052 0.923
Mo37 Mo 0.629 0.552 0.887
Mo38 Mo 0.448 0.077 0.334
Mo39 Mo 0.258 0.387 0.834
Mo40 Mo 0.242 0.577 0.629
Mo41 Mo 0.948 0.113 0.871
Mo42 Mo 0.666 0.242 0.613
Mo43 Mo 0.423 0.758 0.871
Mo44 Mo 0.077 0.448 0.834
Mo45 Mo 0.387 0.258 0.334
Mo46 Mo 0.077 0.629 0.742
Mo47 Mo 0.666 0.423 0.552
Mo48 Mo 0.258 0.871 0.923
```

Values from the calculation:
DFT formation energy = 1.46 eV/atom
Crystal system = cubic
Symmetry = Ia-3d (230)
Energy = -9.371 eV/atom



A relaxed TaV6Mo12 crystal, computed with GGA-PBE.

```
data_TaV6Mo12
_cell_length_a 8.738
_cell_length_b 5.403
_cell_length_c 9.149
_cell_angle_alpha 84.35
_cell_angle_beta 135.79
_cell_angle_gamma 90.18
_symmetry_space_group_name_H-M 'P 1'
_symmetry_Int_Tables_number 1
loop_
_symmetry_equiv_pos_as_xyz
'x,y,z'
loop_
_atom_site_label
_atom_site_type_symbol
_atom_site_fract_x
_atom_site_fract_y
_atom_site_fract_z
Ta1 Ta 0.046 0.083 0.917
V1 V 0.638 0.301 0.699
V2 V 0.852 0.696 0.306
V3 V 0.146 0.802 0.702
V4 V 0.147 0.300 0.700
V5 V 0.348 0.691 0.309
V6 V 0.849 0.197 0.304
Mo1 Mo 0.751 0.993 0.505
Mo2 Mo 0.351 0.195 0.313
Mo3 Mo 0.447 0.395 0.102
Mo4 Mo 0.753 0.490 0.507
Mo5 Mo 0.549 0.596 0.905
Mo6 Mo 0.646 0.795 0.706
Mo7 Mo 0.452 0.894 0.105
Mo8 Mo 0.048 0.587 0.907
Mo9 Mo 0.234 0.994 0.495
Mo10 Mo 0.557 0.094 0.909
Mo11 Mo 0.945 0.403 0.105
Mo12 Mo 0.242 0.495 0.503
```

Values from the calculation:
DFT formation energy = 0.06 eV/atom
Crystal system = triclinic
Symmetry = P1 (1)
Energy = -10.282 eV/atom



A relaxed TaV5Mo6 crystal, computed with GGA-PBE.

```
data_TaV5Mo6
_cell_length_a 4.403
_cell_length_b 6.200
_cell_length_c 7.592
_cell_angle_alpha 114.10
_cell_angle_beta 106.86
_cell_angle_gamma 90.00
_symmetry_space_group_name_H-M 'P 1'
_symmetry_Int_Tables_number 1
loop_
_symmetry_equiv_pos_as_xyz
'x,y,z'
loop_
_atom_site_label
_atom_site_type_symbol
_atom_site_fract_x
_atom_site_fract_y
_atom_site_fract_z
Mo1 Mo 0.831 0.577 0.661
Mo2 Mo 0.831 0.084 0.661
Mo3 Mo 0.500 0.744 0.000
Mo4 Mo 0.500 0.256 0.000
Mo5 Mo 0.169 0.916 0.339
Mo6 Mo 0.169 0.423 0.339
V1 V 0.668 0.168 0.336
V2 V 0.333 0.333 0.666
V3 V 0.000 0.500 0.000
V4 V 0.667 0.667 0.334
V5 V 0.332 0.832 0.664
Ta1 Ta 0.000 0.000 0.000
```

Values from the calculation:
DFT formation energy = -0.12 eV/atom
Crystal system = orthorhombic
Symmetry = Immm (71)
Energy = -10.327 eV/atom